# Ac2PmSi3Au12 GGA-PBE optimized geometry
data_Ac2PmSi3Au12
_symmetry_space_group_name_H-M 'P 1'
_symmetry_Int_Tables_number 1
_symmetry_space_group_name_Hall 'P 1'
_cell_length_a 8.332
_cell_length_b 8.332
_cell_length_c 8.332
_cell_angle_alpha 64.41
_cell_angle_beta 64.41
_cell_angle_gamma 64.41
loop_
_atom_site_label
_atom_site_type_symbol
_atom_site_fract_x
_atom_site_fract_y
_atom_site_fract_z
Ac1 Ac 0.100 0.100 0.100
Ac2 Ac 0.900 0.900 0.900
Pm1 Pm 0.500 0.500 0.500
Si1 Si 0.000 0.500 0.500
Si2 Si 0.500 0.000 0.500
Si3 Si 0.500 0.500 0.000
Au1 Au 0.092 0.642 0.642
Au2 Au 0.187 0.187 0.641
Au3 Au 0.187 0.641 0.187
Au4 Au 0.358 0.358 0.908
Au5 Au 0.358 0.908 0.358
Au6 Au 0.359 0.813 0.813
Au7 Au 0.641 0.187 0.187
Au8 Au 0.642 0.092 0.642
Au9 Au 0.642 0.642 0.092
Au10 Au 0.813 0.359 0.813
Au11 Au 0.813 0.813 0.359
Au12 Au 0.908 0.358 0.358
# mass density: 11.3 g/cm³
# symmetry: R-3m, No. 166
# magnetic moment: 0.00 μB/f.u.
# ΔE_f (raw): -4.28 eV per formula unit

# AcPmSn2Au4 GGA-PBE optimized geometry
data_AcPmSn2Au4
_symmetry_space_group_name_H-M 'P 1'
_symmetry_Int_Tables_number 1
_symmetry_space_group_name_Hall 'P 1'
_cell_length_a 9.121
_cell_length_b 9.121
_cell_length_c 9.121
_cell_angle_alpha 32.42
_cell_angle_beta 32.42
_cell_angle_gamma 32.42
loop_
_atom_site_label
_atom_site_type_symbol
_atom_site_fract_x
_atom_site_fract_y
_atom_site_fract_z
Ac1 Ac 0.000 0.000 0.000
Pm1 Pm 0.500 0.500 0.500
Sn1 Sn 0.247 0.247 0.247
Sn2 Sn 0.753 0.753 0.753
Au1 Au 0.130 0.130 0.130
Au2 Au 0.383 0.383 0.383
Au3 Au 0.617 0.617 0.617
Au4 Au 0.870 0.870 0.870
# mass density: 12.0 g/cm³
# symmetry: R-3m, No. 166
# magnetic moment: 0.00 μB/f.u.
# ΔE_f: -0.69 eV per atom

# AcPmSnAu GGA-PBE optimized geometry
data_AcPmSnAu
_symmetry_space_group_name_H-M 'P 1'
_symmetry_Int_Tables_number 1
_symmetry_space_group_name_Hall 'P 1'
_cell_length_a 5.529
_cell_length_b 5.529
_cell_length_c 5.529
_cell_angle_alpha 60.00
_cell_angle_beta 60.00
_cell_angle_gamma 60.00
loop_
_atom_site_label
_atom_site_type_symbol
_atom_site_fract_x
_atom_site_fract_y
_atom_site_fract_z
Ac1 Ac 0.000 0.000 0.000
Pm1 Pm 0.500 0.500 0.500
Sn1 Sn 0.750 0.750 0.750
Au1 Au 0.250 0.250 0.250
# mass density: 9.6 g/cm³
# symmetry: F-43m, No. 216
# magnetic moment: 0.86 μB/f.u.
# ΔE_f: -0.67 eV per atom

# AcTbPmAu GGA-PBE optimized geometry
data_AcTbPmAu
_symmetry_space_group_name_H-M 'P 1'
_symmetry_Int_Tables_number 1
_symmetry_space_group_name_Hall 'P 1'
_cell_length_a 5.497
_cell_length_b 5.497
_cell_length_c 5.497
_cell_angle_alpha 60.00
_cell_angle_beta 60.00
_cell_angle_gamma 60.00
loop_
_atom_site_label
_atom_site_type_symbol
_atom_site_fract_x
_atom_site_fract_y
_atom_site_fract_z
Ac1 Ac 0.000 0.000 0.000
Tb1 Tb 0.750 0.750 0.750
Pm1 Pm 0.250 0.250 0.250
Au1 Au 0.500 0.500 0.500
# mass density: 10.3 g/cm³
# symmetry: F-43m, No. 216
# magnetic moment: 1.57 μB/f.u.
# ΔE_f: -0.02 eV per atom

# AcPmTeAu GGA-PBE optimized geometry
data_AcPmTeAu
_symmetry_space_group_name_H-M 'P 1'
_symmetry_Int_Tables_number 1
_symmetry_space_group_name_Hall 'P 1'
_cell_length_a 5.522
_cell_length_b 5.522
_cell_length_c 5.522
_cell_angle_alpha 60.00
_cell_angle_beta 60.00
_cell_angle_gamma 60.00
loop_
_atom_site_label
_atom_site_type_symbol
_atom_site_fract_x
_atom_site_fract_y
_atom_site_fract_z
Ac1 Ac 0.000 0.000 0.000
Pm1 Pm 0.500 0.500 0.500
Te1 Te 0.250 0.250 0.250
Au1 Au 0.750 0.750 0.750
# mass density: 9.7 g/cm³
# symmetry: F-43m, No. 216
# magnetic moment: 1.40 μB/f.u.
# ΔE_f (raw): -3.41 eV per formula unit

# AcPmTlAu GGA-PBE optimized geometry
data_AcPmTlAu
_symmetry_space_group_name_H-M 'P 1'
_symmetry_Int_Tables_number 1
_symmetry_space_group_name_Hall 'P 1'
_cell_length_a 5.542
_cell_length_b 5.542
_cell_length_c 5.542
_cell_angle_alpha 60.00
_cell_angle_beta 60.00
_cell_angle_gamma 60.00
loop_
_atom_site_label
_atom_site_type_symbol
_atom_site_fract_x
_atom_site_fract_y
_atom_site_fract_z
Ac1 Ac 0.000 0.000 0.000
Pm1 Pm 0.500 0.500 0.500
Tl1 Tl 0.750 0.750 0.750
Au1 Au 0.250 0.250 0.250
# mass density: 10.7 g/cm³
# symmetry: F-43m, No. 216
# magnetic moment: 0.23 μB/f.u.
# ΔE_f: -0.50 eV per atom

# AcPmTmAu GGA-PBE optimized geometry
data_AcPmTmAu
_symmetry_space_group_name_H-M 'P 1'
_symmetry_Int_Tables_number 1
_symmetry_space_group_name_Hall 'P 1'
_cell_length_a 5.469
_cell_length_b 5.469
_cell_length_c 5.469
_cell_angle_alpha 60.00
_cell_angle_beta 60.00
_cell_angle_gamma 60.00
loop_
_atom_site_label
_atom_site_type_symbol
_atom_site_fract_x
_atom_site_fract_y
_atom_site_fract_z
Ac1 Ac 0.000 0.000 0.000
Pm1 Pm 0.750 0.750 0.750
Tm1 Tm 0.250 0.250 0.250
Au1 Au 0.500 0.500 0.500
# mass density: 10.6 g/cm³
# symmetry: F-43m, No. 216
# magnetic moment: 1.70 μB/f.u.
# ΔE_f: -0.01 eV per atom

# AcPr2Au2 GGA-PBE optimized geometry
data_AcPr2Au2
_symmetry_space_group_name_H-M 'P 1'
_symmetry_Int_Tables_number 1
_symmetry_space_group_name_Hall 'P 1'
_cell_length_a 7.157
_cell_length_b 7.157
_cell_length_c 7.157
_cell_angle_alpha 42.09
_cell_angle_beta 42.09
_cell_angle_gamma 42.09
loop_
_atom_site_label
_atom_site_type_symbol
_atom_site_fract_x
_atom_site_fract_y
_atom_site_fract_z
Ac1 Ac 0.000 0.000 0.000
Pr1 Pr 0.213 0.213 0.213
Pr2 Pr 0.787 0.787 0.787
Au1 Au 0.419 0.419 0.419
Au2 Au 0.581 0.581 0.581
# mass density: 10.1 g/cm³
# symmetry: R-3m, No. 166
# magnetic moment: 0.00 μB/f.u.
# excess energy over the best structure of this formula in the dataset: 70 meV per atom
# ΔE_f: -0.53 eV per atom